Computed, not measured: a relaxed U5Se2S4 crystal at the PBE level of DFT.

formation energy (no corrections)	-1117	kJ/mol of formula units

Cell and atoms, written as CIF:
```
data_U5Se2S4
_chemical_formula_sum 'U15 Se6 S12'
_cell_length_a 4.7605
_cell_length_b 4.7605
_cell_length_c 39.9818
_cell_angle_alpha 90.00
_cell_angle_beta 90.00
_cell_angle_gamma 120.00
_symmetry_space_group_name_H-M 'R -3 m'
_symmetry_Int_Tables_number 166
_symmetry_space_group_name_Hall '-R 3 2"'
loop_
_atom_site_label
_atom_site_fract_x
_atom_site_fract_y
_atom_site_fract_z
U1 0.0000 0.0000 0.0000
U2 0.0000 0.0000 0.1348
U3 0.0000 0.0000 0.2739
Se1 0.0000 0.0000 0.3585
S1 0.0000 0.0000 0.0689
S2 0.0000 0.0000 0.2038
```



Computed, not measured: a relaxed AcDyY crystal at the PBE level of DFT.

energy relative to the elements	67	meV per atom
energy above the lowest structure with this stoichiometry	0.013	eV/atom

Cell and atoms, written as CIF:
```
data_AcDyY
_chemical_formula_sum 'Ac4 Dy4 Y4'
_cell_length_a 6.513
_cell_length_b 12.038
_cell_length_c 6.225
_cell_angle_alpha 90.00
_cell_angle_beta 118.30
_cell_angle_gamma 90.00
_symmetry_space_group_name_H-M 'P 1 21/c 1'
_symmetry_Int_Tables_number 14
loop_
_symmetry_equiv_pos_as_xyz
'x,y,z'
'-x,-y,-z'
'-x,y+1/2,-z+1/2'
'x,-y+1/2,z+1/2'
loop_
_atom_site_label
_atom_site_fract_x
_atom_site_fract_y
_atom_site_fract_z
Ac1 0.167 0.133 0.156
Dy1 0.482 0.617 0.660
Y1 0.185 0.614 0.013
```



Computed, not measured: a relaxed TmZnPd2 crystal at the PBE level of DFT.

energy relative to the elements	-781	meV per atom

Cell and atoms, written as CIF:
```
data_TmZnPd2
_chemical_formula_sum 'Tm4 Zn4 Pd8'
_cell_length_a 6.556
_cell_length_b 6.556
_cell_length_c 6.556
_cell_angle_alpha 90.00
_cell_angle_beta 90.00
_cell_angle_gamma 90.00
_symmetry_space_group_name_H-M 'F m -3 m'
_symmetry_Int_Tables_number 225
_symmetry_space_group_name_Hall '-F 4 2 3'
loop_
_atom_site_label
_atom_site_fract_x
_atom_site_fract_y
_atom_site_fract_z
Tm1 0.000 0.000 0.000
Zn1 0.000 0.000 0.500
Pd1 0.250 0.250 0.250
```



Computed, not measured: a relaxed LiTb4HoSe8 crystal at the PBE level of DFT.

formation energy (no corrections)	-2407	kJ/mol of formula units

Cell and atoms, written as CIF:
```
data_LiTb4HoSe8
_chemical_formula_sum 'Li3 Tb12 Ho3 Se24'
_cell_length_a 8.3960
_cell_length_b 8.3960
_cell_length_c 20.4904
_cell_angle_alpha 90.00
_cell_angle_beta 90.00
_cell_angle_gamma 120.00
_symmetry_space_group_name_H-M 'R 3 m'
_symmetry_Int_Tables_number 160
_symmetry_space_group_name_Hall 'R 3 -2"'
loop_
_atom_site_label
_atom_site_fract_x
_atom_site_fract_y
_atom_site_fract_z
Li1 0.0000 0.0000 0.0000
Tb1 0.0000 0.0000 0.2495
Tb2 0.1734 0.3469 0.4566
Ho1 0.0000 0.0000 0.6303
Se1 0.0000 0.0000 0.3834
Se2 0.0000 0.0000 0.8699
Se3 0.0149 0.5075 0.3761
Se4 0.1789 0.3578 0.2062
```



Table of total energy (eV/atom), in record order: -8.318, -4.991, -4.813, -5.560